Run A
Material: PrY3Tm4
Method: DFT, GGA-PBE
State: relaxed

Unit cell a=11.2482 b=7.2667 c=6.2594 alpha=90.00 beta=90.00 gamma=90.00
Space group Pmn2_1 (No. 31)
Asymmetric unit:
Pr  0.0000  0.1284  0.0000 [2 per cell]
Y  0.0000  0.8714  0.4990 [2 per cell]
Y  0.2503  0.1283  0.3372 [4 per cell]
Tm  0.0000  0.3785  0.5044 [2 per cell]
Tm  0.0000  0.6209  0.0040 [2 per cell]
Tm  0.2485  0.6215  0.3360 [4 per cell]

Values from the calculation:
Calculated density in g/cm³: 7.0
Magnetization in μB/f.u.: 0.00
D(E_F) in states/eV per atom: 1.686


Run B
Material: PrY3Tm4
Method: DFT, GGA-PBE
State: relaxed

Unit cell a=23.5451 b=3.4437 c=6.6641 alpha=90.00 beta=106.35 gamma=90.00
Space group C2/m (No. 12)
Asymmetric unit:
Pr  0.0000  0.0000  0.0000 [2 per cell]
Y  0.0000  0.5000  0.5000 [2 per cell]
Y  0.1283  0.5000  0.3745 [4 per cell]
Tm  0.1265  0.5000  0.8836 [4 per cell]
Tm  0.2398  0.0000  0.2317 [4 per cell]

Values from the calculation:
Calculated density in g/cm³: 6.9
Magnetization in μB/f.u.: 0.00
D(E_F) in states/eV per atom: 1.770


run A is preferred energetically. Next in line: 173 meV/atom higher.


Run A
Material: PrY6Tm3
Method: DFT, GGA-PBE
State: relaxed

Unit cell a=9.8197 b=9.8197 c=11.7701 alpha=90.00 beta=90.00 gamma=120.00
Space group R3 (No. 146, hexagonal axes)
Asymmetric unit:
Pr  0.0000  0.0000  0.0000 [3 per cell]
Y  0.0008  0.3314  0.3360 [9 per cell]
Y  0.0012  0.6646  0.1699 [9 per cell]
Tm  0.0000  0.0000  0.2500 [3 per cell]
Tm  0.0000  0.0000  0.4979 [3 per cell]
Tm  0.0000  0.0000  0.7428 [3 per cell]

Values from the calculation:
Calculated density in g/cm³: 6.0
Magnetization in μB/f.u.: 0.00
D(E_F) in states/eV per atom: 2.089


Run B
Material: PrY6Tm3
Method: DFT, GGA-PBE
State: relaxed

Unit cell a=10.7082 b=19.3011 c=6.2711 alpha=90.00 beta=90.00 gamma=90.00
Space group Cmc2_1 (No. 36)
Asymmetric unit:
Pr  0.0000  0.2119  0.0000 [4 per cell]
Y  0.0000  0.0495  0.2932 [4 per cell]
Y  0.0000  0.3113  0.5595 [4 per cell]
Y  0.1695  0.4577  0.6990 [8 per cell]
Y  0.2282  0.2100  0.3472 [8 per cell]
Tm  0.0000  0.3852  0.0943 [4 per cell]
Tm  0.1840  0.1078  0.7574 [8 per cell]

Values from the calculation:
Calculated density in g/cm³: 6.1
Magnetization in μB/f.u.: 0.00
D(E_F) in states/eV per atom: 1.228


run B is preferred energetically. Next in line: 103 meV/atom higher.


Run A
Material: Pr2Y5Tm2
Method: DFT, GGA-PBE
State: relaxed

Unit cell a=15.4586 b=12.8692 c=6.0749 alpha=90.00 beta=90.00 gamma=90.00
Space group Ima2 (No. 46)
Asymmetric unit:
Pr  0.0000  0.0000  0.0000 [4 per cell]
Pr  0.2500  0.0490  0.8790 [4 per cell]
Y  0.0430  0.1905  0.5594 [8 per cell]
Y  0.1431  0.6906  0.3996 [8 per cell]
Y  0.2500  0.1859  0.3422 [4 per cell]
Tm  0.1409  0.5474  0.9135 [8 per cell]

Values from the calculation:
Calculated density in g/cm³: 5.8
Magnetization in μB/f.u.: 0.00
D(E_F) in states/eV per atom: 1.613


Run B
Material: Pr2Y5Tm2
Method: DFT, GGA-PBE
State: relaxed

Unit cell a=6.2018 b=6.2051 c=9.4811 alpha=108.99 beta=90.01 gamma=119.96
Space group P-1 (No. 2)
Asymmetric unit:
Pr  0.0560  0.4458  0.1709 [2 per cell]
Y  0.2762  0.2210  0.8305 [2 per cell]
Y  0.3903  0.1144  0.1700 [2 per cell]
Y  0.5000  0.0000  0.5000 [1 per cell]
Tm  0.1673  0.3335  0.5000 [2 per cell]

Values from the calculation:
Calculated density in g/cm³: 6.0
Magnetization in μB/f.u.: 0.00
D(E_F) in states/eV per atom: 1.392


run B is preferred energetically. Next in line: 165 meV/atom higher.


Run A
Material: PrY3Tm7
Method: DFT, GGA-PBE
State: relaxed

Unit cell a=6.9319 b=5.4981 c=9.8632 alpha=90.00 beta=109.91 gamma=90.00
Space group P2/m (No. 10)
Asymmetric unit:
Pr  0.0000  0.0000  0.0000 [1 per cell]
Y  0.2769  0.5000  0.4964 [2 per cell]
Y  0.5000  0.0000  0.0000 [1 per cell]
Tm  0.0000  0.0000  0.5000 [1 per cell]
Tm  0.1486  0.5000  0.7911 [2 per cell]
Tm  0.3247  0.5000  0.1436 [2 per cell]
Tm  0.4241  0.0000  0.3319 [2 per cell]

Values from the calculation:
Calculated density in g/cm³: 7.5
Magnetization in μB/f.u.: 0.00
D(E_F) in states/eV per atom: 1.754


Run B
Material: PrY3Tm7
Method: DFT, GGA-PBE
State: relaxed

Unit cell a=6.9974 b=6.9974 c=8.5957 alpha=90.00 beta=90.00 gamma=120.00
Space group P3m1 (No. 156)
Asymmetric unit:
Pr  0.0000  0.0000  0.0000 [1 per cell]
Y  0.3348  0.1674  0.6600 [3 per cell]
Tm  0.1659  0.3317  0.3267 [3 per cell]
Tm  0.5012  0.0024  0.9998 [3 per cell]
Tm  0.6667  0.3333  0.3255 [1 per cell]

Values from the calculation:
Calculated density in g/cm³: 7.2
Magnetization in μB/f.u.: 0.00
D(E_F) in states/eV per atom: 1.619


run A is preferred energetically. Next in line: 37 meV/atom higher.


Run A
Material: Pr4YTm2
Method: DFT, GGA-PBE
State: relaxed

Unit cell a=12.0460 b=24.4500 c=6.4997 alpha=90.00 beta=90.00 gamma=90.00
Space group Fdd2 (No. 43)
Asymmetric unit:
Pr  0.0522  0.0709  0.0000 [16 per cell]
Pr  0.0698  0.1439  0.5292 [16 per cell]
Y  0.0000  0.0000  0.4962 [8 per cell]
Tm  0.0243  0.2166  0.0558 [16 per cell]

Values from the calculation:
Calculated density in g/cm³: 6.9
Magnetization in μB/f.u.: 0.00
D(E_F) in states/eV per atom: 1.457


Run B
Material: Pr4YTm2
Method: DFT, GGA-PBE
State: relaxed

Unit cell a=6.9331 b=11.5067 c=12.1586 alpha=90.00 beta=90.00 gamma=90.00
Space group Imma (No. 74)
Asymmetric unit:
Pr  0.0000  0.0026  0.1508 [8 per cell]
Pr  0.2211  0.2500  0.9898 [8 per cell]
Y  0.2500  0.2500  0.2500 [4 per cell]
Tm  0.0000  0.0000  0.5000 [4 per cell]
Tm  0.0000  0.2500  0.7173 [4 per cell]

Values from the calculation:
Calculated density in g/cm³: 6.8
Magnetization in μB/f.u.: 0.00
D(E_F) in states/eV per atom: 1.479


run A is preferred energetically. Next in line: 194 meV/atom higher.


Run A
Material: Pr7Y12Tm
Method: DFT, GGA-PBE
State: relaxed

Unit cell a=12.0845 b=12.0845 c=16.4603 alpha=90.00 beta=90.00 gamma=120.00
Space group R-3 (No. 148, hexagonal axes)
Asymmetric unit:
Pr  0.0000  0.0000  0.0000 [3 per cell]
Pr  0.0569  0.8707  0.2885 [18 per cell]
Y  0.0293  0.5786  0.2216 [18 per cell]
Y  0.0545  0.4692  0.5831 [18 per cell]
Tm  0.0000  0.0000  0.5000 [3 per cell]

Values from the calculation:
Calculated density in g/cm³: 5.3
Magnetization in μB/f.u.: 0.00
D(E_F) in states/eV per atom: 1.875


Run B
Material: Pr7Y12Tm
Method: DFT, GGA-PBE
State: relaxed

Unit cell a=11.3810 b=11.3810 c=11.3810 alpha=90.00 beta=90.00 gamma=90.00
Space group Im-3m (No. 229)
Asymmetric unit:
Pr  0.0000  0.0000  0.5000 [6 per cell]
Pr  0.2500  0.2500  0.2500 [8 per cell]
Y  0.0000  0.2457  0.2457 [24 per cell]
Tm  0.0000  0.0000  0.0000 [2 per cell]

Values from the calculation:
Calculated density in g/cm³: 5.0
Magnetization in μB/f.u.: 0.00
D(E_F) in states/eV per atom: 1.401


run A is preferred energetically. Next in line: 400 meV/atom higher.